This record from the Alexandria database describes a relaxed AlTlI4 crystal. The functional is GGA-PBE.

## Properties
Raw formation energy in kcal/mol of atoms: -16.20
Polymorph energy (0 for the lowest one) in eV per atom: 0.000
Mass density in g cm⁻³: 4.3

```
data_AlTlI4
_chemical_formula_sum 'Al4 Tl4 I16'
_symmetry_space_group_name_H-M 'P 1 21/c 1'
_symmetry_Int_Tables_number 14
_symmetry_space_group_name_Hall '-P 2ybc'
_cell_length_a 8.258
_cell_length_b 8.420
_cell_length_c 16.491
_cell_angle_alpha 90.00
_cell_angle_beta 96.67
_cell_angle_gamma 90.00
loop_
_atom_site_label
_atom_site_type_symbol
_atom_site_fract_x
_atom_site_fract_y
_atom_site_fract_z
Al1 Al 0.248 0.144 0.140
Tl1 Tl 0.256 0.015 0.858
I1 I 0.012 0.166 0.658
I2 I 0.140 0.632 0.594
I3 I 0.423 0.249 0.533
I4 I 0.428 0.118 0.277
```